{"formula": "TeSe2", "functional": "PBE", "state": "optimized geometry", "e_above_lowest_polymorph_mev_per_atom": 432, "space_group": "No. 139", "formation_energy_uncorrected_ev_per_atom": 0.42, "m_tot_mub_per_fu": 0.00, "energy_ev_per_cell": -8.86, "lattice_angstrom": [[5.893, -0.031, 0.000], [3.652, 4.626, 0.000], [-4.773, -2.297, 2.584]], "species": ["Se", "Te", "Se"], "frac_coords": [[0.652, 0.652, 0.000], [0.000, 0.000, 0.000], [0.348, 0.348, 0.000]]}

{"formula": "Nb2ZnAgPd", "functional": "PBE", "state": "optimized geometry", "space_group": "No. 123", "formation_enthalpy_0k_mev_per_atom": 1027, "m_tot_mub_per_fu": 0.00, "energy_ev_per_cell": -24.32, "lattice_angstrom": [[-1.720, -1.186, -4.412], [4.337, -0.674, -1.510], [-0.255, -4.682, 1.358]], "species": ["Pd", "Ag", "Nb", "Nb", "Zn"], "frac_coords": [[0.000, 0.000, 0.000], [0.500, 0.500, 0.500], [0.000, 0.000, 0.500], [0.500, 0.000, 0.000], [0.000, 0.500, 0.000]]}

{"formula": "KB3As", "functional": "PBE", "state": "optimized geometry", "e_above_lowest_polymorph_mev_per_atom": 1534, "space_group": "No. 221", "formation_enthalpy_0k_mev_per_atom": 3306, "m_tot_mub_per_fu": 0.11, "energy_ev_per_cell": -9.25, "lattice_angstrom": [[4.808, 0.000, 0.000], [0.000, 4.808, 0.000], [0.000, 0.000, 4.808]], "species": ["B", "As", "K", "B", "B"], "frac_coords": [[0.000, 0.500, 0.000], [0.500, 0.500, 0.500], [0.000, 0.000, 0.000], [0.500, 0.000, 0.000], [0.000, 0.000, 0.500]]}